{"formula": "LaHo4Th2", "functional": "PBE", "state": "relaxed", "cell": [[-2.524, 0.928, -2.210], [-2.608, -7.907, 2.387], [-2.223, 6.598, 5.274]], "species": ["Ho", "Ho", "Ho", "Ho", "Th", "Th", "La"], "fractional_positions": [[0.359, 0.715, 0.587], [0.078, 0.165, 0.700], [0.641, 0.285, 0.413], [0.922, 0.835, 0.300], [0.222, 0.437, 0.137], [0.778, 0.563, 0.863], [0.000, 0.000, 0.000]], "dft_energy_ev_per_atom": -5.308, "ef_ev_per_atom": 0.132}

***

{"formula": "PmSmGdPb", "functional": "PBE", "state": "relaxed", "cell": [[-2.855, 1.480, -4.536], [-5.546, 0.351, 0.197], [-2.481, 4.971, -0.225]], "species": ["Pb", "Gd", "Sm", "Pm"], "fractional_positions": [[0.250, 0.250, 0.250], [0.750, 0.750, 0.750], [0.000, 0.000, 0.000], [0.500, 0.500, 0.500]], "dft_energy_ev_per_atom": -6.991, "ef_ev_per_atom": -0.176}

***

{"formula": "CePr", "functional": "PBE", "state": "relaxed", "cell": [[-1.463, -1.858, -3.325], [1.438, -3.567, 1.361], [-3.527, -0.684, 1.934]], "species": ["Pr", "Ce"], "fractional_positions": [[0.000, 0.000, 0.000], [0.500, 0.500, 0.500]], "dft_energy_ev_per_atom": -5.081, "ef_ev_per_atom": 0.276}

***

{"formula": "Sm2HoMnN4", "functional": "PBE", "state": "relaxed", "cell": [[-0.918, -2.165, 2.447], [5.392, -1.878, -1.993], [5.352, 6.827, 8.047]], "species": ["Sm", "Sm", "Sm", "Sm", "Ho", "Ho", "Mn", "Mn", "N", "N", "N", "N", "N", "N", "N", "N"], "fractional_positions": [[0.367, 0.735, 0.543], [0.633, 0.265, 0.043], [0.633, 0.265, 0.457], [0.367, 0.735, 0.957], [0.125, 0.250, 0.750], [0.875, 0.750, 0.250], [0.847, 0.694, 0.750], [0.153, 0.306, 0.250], [0.271, 0.541, 0.139], [0.729, 0.459, 0.639], [0.729, 0.459, 0.861], [0.271, 0.541, 0.361], [0.000, 0.000, 0.500], [0.000, 0.000, 0.000], [0.419, 0.838, 0.750], [0.581, 0.162, 0.250]], "dft_energy_ev_per_atom": -8.086, "formation_energy_uncorrected_ev_per_atom": -1.0247}

***

{"formula": "Rb2UAgS4", "functional": "PBE", "state": "relaxed", "cell": [[6.995, 0.077, 0.118], [-2.911, 6.361, -0.118], [-2.911, -2.668, 5.775]], "species": ["Rb", "Rb", "U", "Ag", "S", "S", "S", "S"], "fractional_positions": [[0.500, 0.750, 0.250], [0.000, 0.000, 0.000], [0.500, 0.250, 0.750], [0.000, 0.500, 0.500], [0.571, 0.351, 0.450], [0.099, 0.220, 0.649], [0.901, 0.550, 0.122], [0.429, 0.878, 0.780]], "dft_energy_ev_per_atom": -4.968, "formation_energy_uncorrected_ev_per_atom": -0.8946}

***

{"formula": "RbScCd3", "functional": "PBE", "state": "relaxed", "cell": [[5.780, 0.000, 0.000], [0.000, 5.780, 0.000], [0.000, 0.000, 5.780]], "species": ["Sc", "Rb", "Cd", "Cd", "Cd"], "fractional_positions": [[0.000, 0.000, 0.000], [0.500, 0.500, 0.500], [0.000, 0.500, 0.000], [0.000, 0.000, 0.500], [0.500, 0.000, 0.000]], "dft_energy_ev_per_atom": -1.751, "ef_ev_per_atom": 0.258}

***

{"formula": "Pm5DyY6", "functional": "PBE", "state": "relaxed", "cell": [[-10.362, -0.419, 5.787], [-1.443, -6.029, -0.781], [1.886, -4.231, 4.189]], "species": ["Pm", "Pm", "Pm", "Pm", "Pm", "Dy", "Y", "Y", "Y", "Y", "Y", "Y"], "fractional_positions": [[0.500, 0.167, 0.667], [0.000, 0.333, 0.333], [0.500, 0.500, 0.000], [0.000, 0.667, 0.667], [0.500, 0.833, 0.333], [0.000, 0.000, 0.000], [0.751, 0.083, 0.333], [0.249, 0.584, 0.333], [0.249, 0.250, 0.000], [0.751, 0.750, 0.000], [0.751, 0.416, 0.667], [0.249, 0.917, 0.667]], "dft_energy_ev_per_atom": -5.582, "ef_ev_per_atom": 0.013}

***

{"formula": "La6Sm2Dy3Mg", "functional": "PBE", "state": "relaxed", "cell": [[6.317, -0.003, -0.012], [-3.160, 5.470, -0.012], [-1.033, -1.789, 11.760]], "species": ["La", "La", "La", "La", "La", "La", "Sm", "Sm", "Dy", "Dy", "Dy", "Mg"], "fractional_positions": [[0.917, 0.586, 0.749], [0.752, 0.752, 0.251], [0.083, 0.414, 0.251], [0.586, 0.917, 0.749], [0.248, 0.248, 0.749], [0.414, 0.083, 0.251], [0.333, 0.667, 0.000], [0.667, 0.333, 0.000], [0.167, 0.833, 0.500], [0.833, 0.167, 0.500], [0.500, 0.500, 0.500], [0.000, 0.000, 0.000]], "dft_energy_ev_per_atom": -4.520, "ef_ev_per_atom": 0.014}

***

{"formula": "ScGeC2S", "functional": "PBE", "state": "relaxed", "cell": [[-3.142, 2.609, 0.703], [-3.747, -3.977, -1.985], [-0.410, -1.526, 3.831]], "species": ["Sc", "C", "C", "Ge", "S"], "fractional_positions": [[0.000, 0.000, 0.000], [0.000, 0.000, 0.500], [0.500, 0.000, 0.000], [0.000, 0.500, 0.000], [0.500, 0.500, 0.500]], "dft_energy_ev_per_atom": -4.756, "formation_energy_uncorrected_ev_per_atom": 1.9487}

***

{"formula": "Nd8Te4IrS3", "functional": "PBE", "state": "relaxed", "cell": [[-4.065, 4.447, -6.044], [3.086, -5.459, -6.093], [-4.354, -3.176, 6.617]], "species": ["Nd", "Nd", "Nd", "Nd", "Nd", "Nd", "Nd", "Nd", "Te", "Te", "Te", "Te", "Ir", "S", "S", "S"], "fractional_positions": [[0.234, 0.712, 0.978], [0.234, 0.712, 0.469], [0.263, 0.290, 0.526], [0.744, 0.712, 0.978], [0.256, 0.288, 0.022], [0.737, 0.710, 0.474], [0.766, 0.288, 0.531], [0.766, 0.288, 0.022], [0.500, 0.000, 0.000], [0.500, 0.000, 0.500], [0.000, 0.000, 0.000], [0.000, 0.000, 0.500], [0.000, 0.500, 0.000], [0.500, 0.500, 0.000], [0.500, 0.500, 0.500], [0.000, 0.500, 0.500]], "dft_energy_ev_per_atom": -6.062, "formation_energy_uncorrected_ev_per_atom": -1.5652}

***

{"formula": "KEuC2O6", "functional": "PBE", "state": "relaxed", "cell": [[-2.862, -5.666, 1.821], [4.262, 0.577, 5.011], [-4.186, 1.962, 5.507]], "species": ["K", "K", "Eu", "Eu", "C", "C", "C", "C", "O", "O", "O", "O", "O", "O", "O", "O", "O", "O", "O", "O"], "fractional_positions": [[0.625, 0.375, 0.750], [0.375, 0.625, 0.250], [0.097, 0.903, 0.750], [0.903, 0.097, 0.250], [0.643, 0.891, 0.756], [0.357, 0.109, 0.244], [0.109, 0.357, 0.744], [0.891, 0.643, 0.256], [0.449, 0.908, 0.780], [0.551, 0.092, 0.220], [0.092, 0.551, 0.720], [0.908, 0.449, 0.280], [0.701, 0.747, 0.876], [0.299, 0.253, 0.124], [0.253, 0.299, 0.624], [0.747, 0.701, 0.376], [0.794, 0.027, 0.610], [0.206, 0.973, 0.390], [0.973, 0.206, 0.890], [0.027, 0.794, 0.110]], "dft_energy_ev_per_atom": -7.914, "formation_energy_uncorrected_ev_per_atom": -1.9576}

***

{"formula": "BaLaCd2Co", "functional": "PBE", "state": "relaxed", "cell": [[6.144, 0.000, 0.000], [0.000, 4.686, 0.000], [0.000, 0.000, 6.144]], "species": ["Cd", "Cd", "Co", "Ba", "La"], "fractional_positions": [[0.000, 0.000, 0.500], [0.500, 0.000, 0.000], [0.000, 0.500, 0.000], [0.500, 0.500, 0.500], [0.000, 0.000, 0.000]], "dft_energy_ev_per_atom": -2.796, "ef_ev_per_atom": 0.361}

***

{"formula": "Ac7Y2Er2", "functional": "PBE", "state": "relaxed", "cell": [[-0.673, -9.416, -1.238], [6.048, -1.383, 8.231], [-3.532, 3.733, 3.223]], "species": ["Ac", "Ac", "Ac", "Ac", "Ac", "Ac", "Ac", "Y", "Y", "Er", "Er"], "fractional_positions": [[0.502, 0.340, 0.002], [0.001, 0.694, 0.501], [0.498, 0.660, 0.998], [0.999, 0.306, 0.499], [0.506, 0.171, 0.506], [0.000, 0.000, 0.000], [0.494, 0.829, 0.494], [0.279, 0.001, 0.778], [0.721, 0.999, 0.222], [0.735, 0.504, 0.736], [0.265, 0.496, 0.264]], "dft_energy_ev_per_atom": -4.419, "ef_ev_per_atom": 0.200}

***

{"formula": "BeFeAs2", "functional": "PBE", "state": "relaxed", "cell": [[-5.818, 3.079, -0.436], [-4.475, 1.602, -4.574], [4.217, -4.441, 2.452]], "species": ["Be", "As", "As", "Fe"], "fractional_positions": [[0.564, 0.564, 0.000], [0.011, 0.011, 0.000], [0.252, 0.752, 0.500], [0.673, 0.173, 0.500]], "dft_energy_ev_per_atom": -5.266, "ef_ev_per_atom": 0.106}

***

{"formula": "ErHfSn2", "functional": "PBE", "state": "relaxed", "cell": [[-3.388, 2.734, 0.201], [-1.129, -1.076, -4.399], [-2.710, -3.472, 1.544]], "species": ["Hf", "Sn", "Sn", "Er"], "fractional_positions": [[0.500, 0.000, 0.000], [0.000, 0.000, 0.500], [0.000, 0.500, 0.000], [0.500, 0.500, 0.500]], "dft_energy_ev_per_atom": -5.982, "ef_ev_per_atom": -0.351}

***

{"formula": "NdCu12Ni6", "functional": "PBE", "state": "relaxed", "cell": [[-4.308, -1.105, -4.908], [-2.498, -3.390, 5.113], [-1.025, 6.337, 1.630]], "species": ["Nd", "Cu", "Cu", "Cu", "Cu", "Cu", "Cu", "Cu", "Cu", "Cu", "Cu", "Cu", "Cu", "Ni", "Ni", "Ni", "Ni", "Ni", "Ni"], "fractional_positions": [[0.000, 0.000, 0.000], [0.888, 0.112, 0.500], [0.884, 0.616, 0.616], [0.616, 0.616, 0.884], [0.384, 0.116, 0.384], [0.384, 0.384, 0.116], [0.116, 0.384, 0.384], [0.112, 0.500, 0.888], [0.500, 0.888, 0.112], [0.112, 0.888, 0.500], [0.888, 0.500, 0.112], [0.500, 0.112, 0.888], [0.616, 0.884, 0.616], [0.694, 0.292, 0.292], [0.292, 0.292, 0.694], [0.292, 0.694, 0.292], [0.708, 0.708, 0.306], [0.306, 0.708, 0.708], [0.708, 0.306, 0.708]], "dft_energy_ev_per_atom": -4.470, "ef_ev_per_atom": 0.193}